# KLi2ErF6

KLi2ErF6 after structural relaxation (PBE, Alexandria).

Cell and atoms, written as POSCAR:
```
KLi2ErF6
1.0
2.8226 1.6296 4.9964
-2.8226 1.6296 4.9964
0.0000 -3.2593 4.9964
K Li Er F
1 2 1 6
Direct
0.0000 0.0000 0.0000 K
0.2671 0.2671 0.2671 Li
0.7652 0.7652 0.7652 Li
0.4813 0.4813 0.4813 Er
0.0644 0.5980 0.4789 F
0.1937 0.5212 0.8978 F
0.4789 0.0644 0.5980 F
0.5212 0.8978 0.1937 F
0.5980 0.4789 0.0644 F
0.8978 0.1937 0.5212 F
```

Crystal system: trigonal
Space-group type: R3 (146)
Raw formation energy in eV per atom: -3.3653


# K3Li2ErF9

K3Li2ErF9 after structural relaxation (PBE, Alexandria).

Cell and atoms, written as POSCAR:
```
K3Li2ErF9
1.0
5.8568 0.0000 0.0000
-2.9284 5.0721 0.0000
0.0000 0.0000 7.4757
K Li Er F
3 2 1 9
Direct
0.0000 0.0000 0.0000 K
0.3333 0.6667 0.7040 K
0.6667 0.3333 0.2960 K
0.3333 0.6667 0.1815 Li
0.6667 0.3333 0.8185 Li
0.0000 0.0000 0.5000 Er
0.0000 0.5000 0.0000 F
0.1692 0.3383 0.3276 F
0.1692 0.8308 0.3276 F
0.3383 0.1692 0.6724 F
0.5000 0.0000 0.0000 F
0.5000 0.5000 0.0000 F
0.6617 0.8308 0.3276 F
0.8308 0.1692 0.6724 F
0.8308 0.6617 0.6724 F
```

Crystal system: trigonal
Space-group type: P-3m1 (164)
Raw formation energy in eV per atom: -2.9963